VASP calculation (PBE with a Hubbard U) on a geometry-optimized LiMoAsO6 structure.

Cell: 5.0102 9.1019 9.5700 Å, 90.00 90.00 90.00°
Closest atoms and distances in Å follow each position.
Element x y z (fractional)
O (0.0817, 0.3712, 0.2498)  1 Mo 1.73
O (0.2006, 0.5368, 0.0039)  1 As 1.71
O (0.2629, 0.8444, 0.4840)  1 As 1.75
O (0.2933, 0.1724, 0.9750)  1 As 1.71
O (0.4183, 0.3712, 0.7498)  1 Mo 1.73
O (0.7629, 0.3444, 0.0160)  1 As 1.75
O (0.9183, 0.8712, 0.7502)  1 Mo 1.73
O (0.5529, 0.1717, 0.2334)  1 As 1.76
O (0.0529, 0.6717, 0.2666)  1 As 1.76
O (0.2994, 0.5368, 0.5039)  1 As 1.71
O (0.7994, 0.0368, 0.9961)  1 As 1.71
O (0.4471, 0.6717, 0.7666)  1 As 1.76
O (0.9043, 0.4942, 0.7553)  1 Mo 1.72
O (0.5957, 0.4942, 0.2553)  1 Mo 1.72
O (0.2371, 0.8444, 0.9840)  1 As 1.75
O (0.7006, 0.0368, 0.4961)  1 As 1.71
O (0.9471, 0.1717, 0.7334)  1 As 1.76
O (0.0957, 0.9942, 0.2447)  1 Mo 1.72
O (0.4043, 0.9942, 0.7447)  1 Mo 1.72
O (0.7933, 0.6724, 0.5250)  1 As 1.71
O (0.5817, 0.8712, 0.2502)  1 Mo 1.73
O (0.7371, 0.3444, 0.5160)  1 As 1.75
O (0.2067, 0.1724, 0.4750)  1 As 1.71
O (0.7067, 0.6724, 0.0250)  1 As 1.71
As (0.3988, 0.6786, 0.9485)  4 O 1.71-1.76
As (0.6012, 0.1786, 0.0515)  4 O 1.71-1.76
As (0.1012, 0.6786, 0.4485)  4 O 1.71-1.76
As (0.8988, 0.1786, 0.5515)  4 O 1.71-1.76
Li (0.3945, 0.3522, 0.3780)  5 O 2.00-2.17
Li (0.8945, 0.8522, 0.1220)  5 O 2.00-2.17
Li (0.6055, 0.8522, 0.6220)  5 O 2.00-2.17
Li (0.1055, 0.3522, 0.8780)  5 O 2.00-2.17
Mo (0.1107, 0.9983, 0.8387)  2 O 1.72-1.73
Mo (0.6107, 0.4983, 0.6613)  2 O 1.72-1.73
Mo (0.8893, 0.4983, 0.1613)  2 O 1.72-1.73
Mo (0.3893, 0.9983, 0.3387)  2 O 1.72-1.73

* energy relative to the lowest polymorph listed for this composition: 0.013 eV per atom
* V: 12.123 Å³/atom
* final energy: -6.3433 eV per atom